## SmFe4Sb12 (PBE)

Data for an optimized crystal structure of SmFe4Sb12.

Cell and atoms, written as extended XYZ:
```
17
Lattice="-4.587 4.587 4.587 4.587 -4.587 4.587 4.587 4.587 -4.587" Properties=species:S:1:pos:R:3 pbc="T T T"
Sm 0.000 0.000 0.000
Fe 2.293 2.293 -2.293
Fe 2.293 -2.293 2.293
Fe -2.293 2.293 2.293
Fe 2.293 2.293 2.293
Sb 3.062 0.000 1.488
Sb 6.111 0.000 1.488
Sb 4.587 3.099 -1.525
Sb 1.488 3.062 0.000
Sb 3.099 -1.525 4.587
Sb 0.000 1.488 3.062
Sb 4.587 3.099 1.525
Sb 1.488 6.111 0.000
Sb 3.099 1.525 4.587
Sb 0.000 1.488 6.111
Sb -1.525 4.587 3.099
Sb 1.525 4.587 3.099
```

## Properties
**Space-group type**: No. 204
**ρ**: 7.89 g/cm3
**Energy**: -5.362 eV per atom
**Formation energy (no corrections)**: -0.1836 eV per atom